Entry 1:
4
Lattice="-1.4625 -1.5882 -2.1330 1.6117 -2.4656 0.7307 -4.1916 -1.5469 4.0258" Properties=species:S:1:pos:R:3 comment="LiZnPd2 (PBE, optimized geometry)" e_tot_ev_per_cell=-15.709 pbc="T T T"
Pd -0.9842 -2.4176 0.3158
Pd -3.0582 -3.1830 2.3077
Zn 0.0000 0.0000 0.0000
Li -2.0958 -0.7734 2.0129

=====

Entry 2:
3
Lattice="5.2716 -0.7848 0.4889 2.1001 -1.1632 4.7835 1.8961 -4.9106 0.9676" Properties=species:S:1:pos:R:3 comment="PrThBi (PBE, optimized geometry)" e_tot_ev_per_cell=-16.706 pbc="T T T"
Pr 2.3170 -1.7146 1.5600
Th 6.9509 -5.1439 4.6800
Bi 0.0000 0.0000 0.0000

=====

Entry 3:
10
Lattice="2.2421 -13.3685 0.0000 2.2421 13.3685 0.0000 0.0000 0.0000 4.4986" Properties=species:S:1:pos:R:3 comment="TbY2Sn4Pb3 (PBE, optimized geometry)" e_tot_ev_per_cell=-49.172 pbc="T T T"
Pb 0.0000 0.0000 0.0000
Pb 2.2421 5.5896 2.2493
Pb 2.2421 -5.5896 2.2493
Sn 2.2421 10.7781 2.2493
Sn 2.2421 -2.5794 0.0000
Sn 2.2421 2.5794 0.0000
Sn 2.2421 -10.7781 2.2493
Y 2.2421 -8.3501 0.0000
Y 2.2421 8.3501 0.0000
Tb 2.2421 0.0000 2.2493

=====

Entry 4:
3
Lattice="0.0000 3.7615 3.7615 3.7615 0.0000 3.7615 3.7615 3.7615 0.0000" Properties=species:S:1:pos:R:3 comment="CsAlPt (PBE, optimized geometry)" e_tot_ev_per_cell=-7.311 pbc="T T T"
Al 1.8807 1.8807 1.8807
Cs 0.0000 0.0000 0.0000
Pt 5.6422 5.6422 5.6422

=====

Entry 5:
8
Lattice="4.5530 0.0000 0.0000 0.0000 4.5375 0.0000 0.0000 0.0000 8.0601" Properties=species:S:1:pos:R:3 comment="Hf2AgHg (PBE, optimized geometry)" e_tot_ev_per_cell=-46.916 formation_enthalpy_0k_mev_per_atom=-106 pbc="T T T"
Hf 3.4148 2.2687 1.0179
Hf 1.1383 0.0000 1.0330
Hf 1.1383 2.2687 7.0422
Hf 3.4148 0.0000 7.0271
Hg 3.4148 0.0000 3.0682
Hg 1.1383 0.0000 4.9919
Ag 3.4148 2.2687 5.0239
Ag 1.1383 2.2687 3.0362

=====

Entry 6:
8
Lattice="3.3888 0.0000 0.0000 0.0000 3.3888 0.0000 0.0000 0.0000 10.6033" Properties=species:S:1:pos:R:3 comment="ReGeAsO (PBE, optimized geometry)" e_tot_ev_per_cell=-52.156 pbc="T T T"
Ge 1.6944 1.6944 5.3017
Ge 0.0000 0.0000 5.3017
O 1.6944 1.6944 0.0000
O 0.0000 0.0000 0.0000
As 0.0000 1.6944 2.6171
As 1.6944 0.0000 7.9863
Re 0.0000 1.6944 9.3028
Re 1.6944 0.0000 1.3006

=====

Entry 7:
8
Lattice="-1.8882 -1.7547 1.6785 2.9803 0.1935 0.7363 -2.5638 10.1366 7.7128" Properties=species:S:1:pos:R:3 comment="GaCuMo4C2 (PBE, optimized geometry)" e_tot_ev_per_cell=-68.317 pbc="T T T"
Mo -2.4169 7.4013 7.8371
Mo -0.6776 0.5246 2.6046
Mo -1.6986 6.7157 5.1099
Mo -0.8652 3.4209 2.6029
C 0.7225 2.0546 2.9606
C -0.5713 7.1701 6.8530
Ga -1.5472 3.9629 5.2209
Cu 0.0000 0.0000 0.0000

=====

Entry 8:
18
Lattice="-2.4405 12.4105 4.0805 2.4405 -12.4105 4.0805 2.4405 12.4105 -4.0805" Properties=species:S:1:pos:R:3 comment="BaCuSn (PBE, optimized geometry)" e_tot_ev_per_cell=-64.069 pbc="T T T"
Ba 0.0000 4.0479 0.7806
Ba 2.4405 -4.2811 3.8897
Ba 0.0000 0.0000 7.9869
Ba 2.4405 4.2811 3.8897
Ba 0.0000 12.4105 0.7422
Ba 0.0000 20.7731 0.7806
Cu 0.0000 5.6064 5.7315
Cu 0.0000 9.7432 3.0087
Cu 2.4405 10.6798 -1.0039
Cu 0.0000 15.0778 3.0087
Cu 2.4405 6.8041 1.6510
Cu 0.0000 1.7308 3.0766
Sn 0.0000 2.6819 5.7026
Sn 2.4405 -1.5242 1.6849
Sn 2.4405 5.5866 -1.0465
Sn 0.0000 6.8239 3.0340
Sn 2.4405 9.7286 1.6221
Sn 2.4405 1.5242 1.6849

=====

Entry 9:
5
Lattice="6.3291 -0.9956 -2.5151 6.1823 -0.8794 2.8949 -6.6582 -1.7386 -0.1433" Properties=species:S:1:pos:R:3 comment="Al2ZnAg2 (PBE, optimized geometry)" e_tot_ev_per_cell=-13.561 pbc="T T T"
Ag 7.5784 -1.1357 0.2301
Ag 4.9330 -0.7393 0.1498
Zn 0.0000 0.0000 0.0000
Al 2.9633 -1.8359 -1.2343
Al 2.8899 -1.7778 1.4707

=====

Entry 10:
10
Lattice="-1.5052 4.6585 0.3562 -1.9986 -0.3174 -4.2948 -9.0035 -3.6236 4.4576" Properties=species:S:1:pos:R:3 comment="LaPt2Pb2 (PBE, optimized geometry)" e_tot_ev_per_cell=-54.610 pbc="T T T"
Pt -7.5776 -1.3446 -0.3106
Pt -9.6928 -2.9219 3.4144
Pt -4.9298 2.0622 0.8296
Pt -2.8145 3.6394 -2.8954
Pb -2.5688 2.6108 -0.3096
Pb -9.9385 -1.8933 0.8286
Pb -7.1580 1.4194 -0.7101
Pb -5.3494 -0.7019 1.2291
La -8.5520 0.8148 2.6074
La -3.9553 -0.0973 -2.0884

=====

Entry 11:
2
Lattice="0.5469 -1.6879 -4.1582 -1.1899 -2.7246 3.4058 -2.9507 3.0221 -1.6123" Properties=species:S:1:pos:R:3 comment="NdSb (PBE, optimized geometry)" e_tot_ev_per_cell=-11.268 pbc="T T T"
Sb -1.2019 0.6671 -2.8853
Nd 0.0000 0.0000 0.0000

=====

Entry 12:
20
Lattice="-1.2140 -5.4565 8.4651 4.5246 -4.1247 -8.0881 5.6527 2.0367 2.1235" Properties=species:S:1:pos:R:3 comment="Th7Pt3 (PBE, optimized geometry)" e_tot_ev_per_cell=-155.176 formation_enthalpy_0k_mev_per_atom=-753 pbc="T T T"
Th 5.3720 -5.2918 5.7040
Th 5.1076 -6.8095 2.4213
Th 3.0734 -0.9224 2.1897
Th 9.4174 -2.2673 -3.8456
Th 2.3274 -4.2751 7.3910
Th 8.6714 -5.6200 1.3557
Th 2.5994 -4.3278 3.6613
Th 5.1719 -5.7007 -2.9329
Th 4.1376 -1.7191 5.5634
Th 6.6372 0.2672 1.1241
Th 3.4847 -4.1627 0.0829
Th 7.3386 -2.8655 -0.7946
Th 3.9374 -2.1281 -3.0735
Th 5.8247 -3.2572 2.5476
Pt 6.0731 -5.6090 -0.1035
Pt 4.6345 -1.4457 -0.2672
Pt 6.6006 -3.2380 -3.7817
Pt 0.1990 -5.0861 5.4694
Pt 2.1651 -6.8785 1.9549
Pt 0.7265 -2.7151 1.7911